MoIrN2O GGA+U relaxed; crystal system = tetragonal; calculated total energy = -6.726 eV/atom; magnetic moment = 3.63 μB/f.u.; SG = P4/mmm
1.0
3.7249 0.0000 0.0000
0.0000 3.7249 0.0000
0.0000 0.0000 4.8561
Ir Mo O N
1 1 1 2
Cartesian
0.0000 0.0000 0.0000
1.8624 1.8624 2.4280
0.0000 0.0000 2.4280
1.8624 0.0000 0.0000
0.0000 1.8624 0.0000